(1)
## KHgAs (PBE)

Data for an optimized crystal structure of KHgAs.

Unit cell a=8.548 b=3.741 c=12.117 alpha=90.00 beta=90.00 gamma=90.00
Sites, in units of the cell vectors:
K: 0.179 0.250 0.193
K: 0.321 0.750 0.693
K: 0.679 0.250 0.307
K: 0.821 0.750 0.807
Hg: 0.167 0.750 0.946
Hg: 0.333 0.250 0.446
Hg: 0.667 0.750 0.554
Hg: 0.833 0.250 0.054
As: 0.016 0.250 0.567
As: 0.484 0.750 0.067
As: 0.516 0.250 0.933
As: 0.984 0.750 0.433

Properties
VASP energy, eV per atom: -2.266
Volume, Å³/cell: 387.44

***

(2)
## Cu2Te2PbF2 (PBE)

Data for an optimized crystal structure of Cu2Te2PbF2.

Unit cell a=3.617 b=3.617 c=10.300 alpha=90.00 beta=90.00 gamma=90.00
Sites, in units of the cell vectors:
Cu: 0.000 0.500 0.124
Cu: 0.500 0.000 0.876
Te: 0.000 0.500 0.751
Te: 0.500 0.000 0.249
Pb: 0.000 0.000 0.500
F: 0.000 0.000 0.000
F: 0.500 0.500 0.000

Properties
VASP energy, eV per atom: -3.536
Volume, Å³/cell: 134.74

***

(3)
## TbNd2Cd3Cu2Ag (PBE)

Data for an optimized crystal structure of TbNd2Cd3Cu2Ag.

Unit cell a=3.939 b=7.784 c=7.784 alpha=120.19 beta=90.00 gamma=90.00
Sites, in units of the cell vectors:
Tb: 0.000 0.000 0.000
Nd: 0.000 0.412 0.823
Nd: 0.000 0.823 0.412
Cd: 0.500 0.146 0.408
Cd: 0.500 0.408 0.146
Cd: 0.500 0.678 0.678
Cu: 0.500 0.077 0.750
Cu: 0.500 0.750 0.077
Ag: 0.000 0.410 0.410

Properties
VASP energy, eV per atom: -3.305
Magnetic moment, μB/f.u.: 0.024
Volume, Å³/cell: 206.34

***

What did the first record say?
## KHgAs (PBE)

Data for an optimized crystal structure of KHgAs.

Unit cell a=8.548 b=3.741 c=12.117 alpha=90.00 beta=90.00 gamma=90.00
Sites, in units of the cell vectors:
K: 0.179 0.250 0.193
K: 0.321 0.750 0.693
K: 0.679 0.250 0.307
K: 0.821 0.750 0.807
Hg: 0.167 0.750 0.946
Hg: 0.333 0.250 0.446
Hg: 0.667 0.750 0.554
Hg: 0.833 0.250 0.054
As: 0.016 0.250 0.567
As: 0.484 0.750 0.067
As: 0.516 0.250 0.933
As: 0.984 0.750 0.433

Properties
VASP energy, eV per atom: -2.266
Volume, Å³/cell: 387.44